[1]
{"formula": "Ho2AsBr", "functional": "PBE", "state": "relaxed", "cell": [[4.046, 0.000, 0.000], [-2.023, 3.504, 0.000], [0.000, 0.000, 21.587]], "species": ["Ho", "Ho", "Ho", "Ho", "Ho", "Ho", "As", "As", "As", "Br", "Br", "Br"], "fractional_positions": [[0.000, 0.000, 0.000], [0.000, 0.000, 0.195], [0.333, 0.667, 0.667], [0.333, 0.667, 0.862], [0.667, 0.333, 0.333], [0.667, 0.333, 0.528], [0.000, 0.000, 0.600], [0.333, 0.667, 0.266], [0.667, 0.333, 0.933], [0.000, 0.000, 0.429], [0.333, 0.667, 0.096], [0.667, 0.333, 0.762]], "energy_ev_per_cell": -61.772, "spacegroup": "R3m, No. 160", "magmom_total_mub_per_cell": 0.00, "e_form_raw_ev_per_atom": -1.278}

[2]
{"formula": "Mg3Hg", "functional": "PBE", "state": "relaxed", "cell": [[4.911, 0.000, 0.000], [-2.455, 4.253, 0.000], [0.000, 0.000, 8.599]], "species": ["Mg", "Mg", "Mg", "Mg", "Mg", "Mg", "Hg", "Hg"], "fractional_positions": [[0.000, 0.000, 0.250], [0.000, 0.000, 0.750], [0.333, 0.667, 0.078], [0.333, 0.667, 0.422], [0.667, 0.333, 0.578], [0.667, 0.333, 0.922], [0.333, 0.667, 0.750], [0.667, 0.333, 0.250]], "energy_ev_per_cell": -11.112, "spacegroup": "P6_3/mmc, No. 194", "magmom_total_mub_per_cell": 0.00}

[3]
{"formula": "HfPa2GaN5", "functional": "PBE", "state": "relaxed", "cell": [[1.650, -6.818, 0.000], [1.650, 6.818, 0.000], [0.000, 0.000, 10.132]], "species": ["Hf", "Hf", "Pa", "Pa", "Pa", "Pa", "Ga", "Ga", "N", "N", "N", "N", "N", "N", "N", "N", "N", "N"], "fractional_positions": [[0.208, 0.792, 0.500], [0.792, 0.208, 0.000], [0.121, 0.879, 0.193], [0.134, 0.866, 0.791], [0.866, 0.134, 0.291], [0.879, 0.121, 0.693], [0.488, 0.512, 0.977], [0.512, 0.488, 0.477], [0.051, 0.949, 0.558], [0.289, 0.711, 0.153], [0.304, 0.696, 0.854], [0.363, 0.637, 0.511], [0.494, 0.506, 0.283], [0.506, 0.494, 0.783], [0.637, 0.363, 0.011], [0.696, 0.304, 0.354], [0.711, 0.289, 0.653], [0.949, 0.051, 0.058]], "energy_ev_per_cell": -170.217, "spacegroup": "Cmc2_1, No. 36", "magmom_total_mub_per_cell": 0.00, "e_form_raw_ev_per_atom": -1.279}

[4]
{"formula": "PmHo2P3", "functional": "PBE", "state": "relaxed", "cell": [[4.038, 0.000, 0.000], [0.000, 5.711, 0.000], [0.000, 0.000, 12.103]], "species": ["Pm", "Pm", "Ho", "Ho", "Ho", "Ho", "P", "P", "P", "P", "P", "P"], "fractional_positions": [[0.000, 0.000, 0.000], [0.500, 0.500, 0.500], [0.000, 0.000, 0.334], [0.000, 0.000, 0.666], [0.500, 0.500, 0.166], [0.500, 0.500, 0.834], [0.000, 0.500, 0.000], [0.000, 0.500, 0.329], [0.000, 0.500, 0.671], [0.500, 0.000, 0.171], [0.500, 0.000, 0.500], [0.500, 0.000, 0.829]], "energy_ev_per_cell": -79.331, "spacegroup": "Immm, No. 71", "magmom_total_mub_per_cell": 0.00}

[5]
{"formula": "Sc7Al2Sn2", "functional": "PBE", "state": "relaxed", "cell": [[3.645, -5.119, 0.000], [3.645, 5.119, 0.000], [0.000, 0.000, 7.285]], "species": ["Sc", "Sc", "Sc", "Sc", "Sc", "Sc", "Sc", "Al", "Al", "Sn", "Sn"], "fractional_positions": [[0.000, 0.000, 0.000], [0.000, 0.500, 0.297], [0.000, 0.500, 0.703], [0.500, 0.000, 0.297], [0.500, 0.000, 0.703], [0.500, 0.500, 0.286], [0.500, 0.500, 0.714], [0.173, 0.173, 0.500], [0.827, 0.827, 0.500], [0.301, 0.699, 0.000], [0.699, 0.301, 0.000]], "energy_ev_per_cell": -61.391, "spacegroup": "Cmmm, No. 65", "magmom_total_mub_per_cell": 0.00}

[6]
{"formula": "Pr2HoPaSb4", "functional": "PBE", "state": "relaxed", "cell": [[7.700, 0.000, 0.000], [0.000, 4.457, 0.000], [-2.569, 0.000, 7.312]], "species": ["Pr", "Pr", "Ho", "Pa", "Sb", "Sb", "Sb", "Sb"], "fractional_positions": [[0.000, 0.000, 0.000], [0.500, 0.500, 0.000], [0.000, 0.500, 0.500], [0.500, 0.000, 0.500], [0.247, 0.000, 0.736], [0.254, 0.500, 0.263], [0.746, 0.500, 0.737], [0.753, 0.000, 0.264]], "energy_ev_per_cell": -48.014, "spacegroup": "P2/m, No. 10", "magmom_total_mub_per_cell": 0.75, "e_form_raw_ev_per_atom": -0.986}

[7]
{"formula": "Li2Tb2AlPd5", "functional": "PBE", "state": "relaxed", "cell": [[9.693, 0.000, 0.000], [0.000, 9.693, 0.000], [0.000, 0.000, 3.535]], "species": ["Li", "Li", "Li", "Li", "Tb", "Tb", "Tb", "Tb", "Al", "Al", "Pd", "Pd", "Pd", "Pd", "Pd", "Pd", "Pd", "Pd", "Pd", "Pd"], "fractional_positions": [[0.123, 0.377, 0.000], [0.377, 0.877, 0.000], [0.623, 0.123, 0.000], [0.877, 0.623, 0.000], [0.176, 0.676, 0.000], [0.324, 0.176, 0.000], [0.676, 0.824, 0.000], [0.824, 0.324, 0.000], [0.000, 0.000, 0.000], [0.500, 0.500, 0.000], [0.000, 0.500, 0.500], [0.064, 0.201, 0.500], [0.201, 0.936, 0.500], [0.299, 0.436, 0.500], [0.436, 0.701, 0.500], [0.500, 0.000, 0.500], [0.564, 0.299, 0.500], [0.701, 0.564, 0.500], [0.799, 0.064, 0.500], [0.936, 0.799, 0.500]], "energy_ev_per_cell": -100.036, "spacegroup": "P4/mbm, No. 127", "magmom_total_mub_per_cell": 0.00}

[8]
{"formula": "ReWSe2", "functional": "PBE", "state": "relaxed", "cell": [[4.122, 0.000, 0.000], [0.000, 4.122, 0.000], [0.000, 0.000, 7.747]], "species": ["Re", "Re", "W", "W", "Se", "Se", "Se", "Se"], "fractional_positions": [[0.000, 0.000, 0.000], [0.500, 0.500, 0.500], [0.000, 0.500, 0.250], [0.500, 0.000, 0.750], [0.000, 0.000, 0.500], [0.000, 0.500, 0.750], [0.500, 0.000, 0.250], [0.500, 0.500, 0.000]], "energy_ev_per_cell": -58.427, "spacegroup": "I-4m2, No. 119", "magmom_total_mub_per_cell": 0.00, "e_form_raw_ev_per_atom": 0.789}

[9]
{"formula": "La2DyGa2", "functional": "PBE", "state": "relaxed", "cell": [[4.814, 0.000, 0.000], [0.000, 6.817, 0.000], [0.000, 0.000, 8.512]], "species": ["La", "La", "La", "La", "Dy", "Dy", "Ga", "Ga", "Ga", "Ga"], "fractional_positions": [[0.000, 0.000, 0.194], [0.000, 0.000, 0.806], [0.500, 0.500, 0.306], [0.500, 0.500, 0.694], [0.000, 0.500, 0.000], [0.500, 0.000, 0.500], [0.000, 0.292, 0.500], [0.000, 0.708, 0.500], [0.500, 0.208, 0.000], [0.500, 0.792, 0.000]], "energy_ev_per_cell": -45.767, "spacegroup": "Immm, No. 71", "magmom_total_mub_per_cell": 0.00}

- Which formula does entry 2 have?
  Mg3Hg